# 1
The following is a GGA-PBE calculation of an optimized crystal structure of Th6InTe3As2, from Alexandria via LeMat-Bulk.

abc: 9.920 9.920 8.832
angles: 103.93 103.93 25.76
Element x y z (fractional)
1 Th 0.012 0.012 0.251
2 Th 0.328 0.328 0.434
3 Th 0.333 0.333 0.890
4 Th 0.667 0.667 0.110
5 Th 0.672 0.672 0.566
6 Th 0.988 0.988 0.749
7 In 0.500 0.500 0.000
8 Te 0.162 0.162 0.834
9 Te 0.500 0.500 0.500
10 Te 0.838 0.838 0.166
11 As 0.170 0.170 0.338
12 As 0.830 0.830 0.662

Symmetry: C2/m, No. 12
E in eV per atom: -6.507
Calculated density in g cm⁻³: 9.3

=====

# 2
The following is a GGA-PBE calculation of an optimized crystal structure of TaRe2BRh, from Alexandria via LeMat-Bulk.

abc: 4.162 4.162 4.052
angles: 90.00 90.00 90.00
Element x y z (fractional)
1 Ta 0.000 0.000 0.000
2 Re 0.000 0.500 0.500
3 Re 0.500 0.000 0.500
4 B 0.500 0.500 0.500
5 Rh 0.500 0.500 0.000

DFT formation energy in eV per formula unit: -1.00
Symmetry: P4/mmm, No. 123
Calculated density in g cm⁻³: 15.8

=====

# 3
The following is a GGA-PBE calculation of an optimized crystal structure of SrSe5, from Alexandria via LeMat-Bulk.

abc: 6.192 6.192 6.415
angles: 93.63 93.63 49.17
Element x y z (fractional)
1 Sr 0.000 0.000 0.000
2 Se 0.307 0.307 0.010
3 Se 0.371 0.371 0.658
4 Se 0.510 0.510 0.290
5 Se 0.632 0.632 0.643
6 Se 0.835 0.835 0.556

Symmetry: Cm, No. 8
E in eV per atom: -3.735
Calculated density in g cm⁻³: 4.3

=====

# 4
The following is a GGA-PBE calculation of an optimized crystal structure of TmZn5Co2, from Alexandria via LeMat-Bulk.

abc: 6.086 6.086 6.086
angles: 143.18 106.06 85.58
Element x y z (fractional)
1 Tm 0.000 0.000 0.000
2 Zn 0.156 0.339 0.817
3 Zn 0.477 0.661 0.817
4 Zn 0.500 0.000 0.500
5 Zn 0.523 0.339 0.183
6 Zn 0.844 0.661 0.183
7 Co 0.234 0.734 0.500
8 Co 0.766 0.266 0.500

DFT formation energy in eV per formula unit: -0.94
Symmetry: Immm, No. 71
Calculated density in g cm⁻³: 8.1

=====

Q: Among the records above, which one has the highest calculated density?
A: TaRe2BRh